PmSm4N4 | PBE-GGA | optimized geometry

The space group is P-1 (No. 2) and the conventional cell measures 5.080, 6.252 and 6.252 Å, with angles of 80.54, 66.10 and 66.08 degrees. The inequivalent atoms are Pm at (0.000, 0.000, 0.000), Sm at (0.186, 0.424, 0.204), Sm at (0.390, 0.796, 0.424), N at (0.098, 0.202, 0.604) and N at (0.299, 0.604, 0.799).

Its total energy is -68.7 eV/f.u. The total magnetic moment comes out at 0.000 μB per formula unit. The energy relative to the lowest polymorph listed for this composition is 0.000 eV per atom. For the formation energy (no corrections), the calculation gives -1.31 eV/atom.